# 1
Entry from Alexandria via LeMat-Bulk: a geometry-optimized TaFeGeTe2Pd structure (PBE).

For the raw formation energy, the calculation gives -26.0 kJ per mole of atoms. As for the energy above the most stable polymorph in this dataset: 10 meV/atom.

It has space group Cm (No. 8), with a = 7.202 Å, b = 4.125 Å, c = 9.524 Å, α = 90.00°, β = 111.46° and γ = 90.00°. The distinct sites, in fractional coordinates, are Ta at (0.000, 0.000, 0.000), Fe at (0.269, 0.000, 0.865), Ge at (0.091, 0.500, 0.844), Te at (0.113, 0.000, 0.543), Te at (0.419, 0.000, 0.181) and Pd at (0.351, 0.500, 0.685).


# 2
Entry from Alexandria via LeMat-Bulk: a geometry-optimized Sm3HoPb2 structure (PBE).

The formation energy comes out at -435 meV/atom. As for the energy above the most stable polymorph in this dataset: 0 meV/atom.

It has space group P-4m2 (No. 115), with a = 4.620 Å, b = 4.620 Å, c = 8.760 Å, α = 90.00°, β = 90.00° and γ = 90.00°. The distinct sites, in fractional coordinates, are Sm at (0.000, 0.000, 0.000), Sm at (0.000, 0.500, 0.656), Ho at (0.500, 0.500, 0.000) and Pb at (0.000, 0.500, 0.283).


Sequential magnetic moment output: 0.23; 0.00 μB per atom